# Cr2SbAs PBEsol relaxed
data_Cr2SbAs
_cell_length_a 3.7315
_cell_length_b 3.7315
_cell_length_c 5.7234
_cell_angle_alpha 90.00
_cell_angle_beta 90.00
_cell_angle_gamma 120.00
_symmetry_space_group_name_H-M 'P 1'
_symmetry_Int_Tables_number 1
_symmetry_space_group_name_Hall 'P 1'
loop_
_atom_site_label
_atom_site_fract_x
_atom_site_fract_y
_atom_site_fract_z
Cr1 0.3333 0.6667 0.2681
Cr2 0.3333 0.6667 0.7319
As1 0.6667 0.3333 0.5000
Sb1 0.0000 0.0000 0.0000
# Formation energy from raw total energies in meV/atom: 43